# YGaHgO2 PBE optimized geometry
data_YGaHgO2
_symmetry_space_group_name_H-M 'P 1'
_symmetry_Int_Tables_number 1
_cell_length_a 4.311
_cell_length_b 6.657
_cell_length_c 4.311
_cell_angle_alpha 90.00
_cell_angle_beta 90.00
_cell_angle_gamma 90.00
loop_
_symmetry_equiv_pos_as_xyz
'x,y,z'
loop_
_atom_site_label
_atom_site_fract_x
_atom_site_fract_y
_atom_site_fract_z
Y1 0.000 0.000 0.000
O1 0.500 0.000 0.000
Hg1 0.500 0.500 0.500
O2 0.000 0.000 0.500
Ga1 0.000 0.500 0.000
# Calculated volume ... 24.75 Å³/atom
# DFT total energy ... -4.93 eV per atom
# M_tot ... 0.6 Bohr magnetons per cell
# DOS(E_F) ... 5.58 states/eV per cell
# Space-group type ... P4/mmm